# 1
Compound: MnTc2Mo
Source: Alexandria
Functional: GGA-PBEsol
Structure: optimized geometry

As for the crystal system: tetragonal. The formation enthalpy at 0 K comes out at 0.151 eV per atom.

It has space group P4mm (No. 99), with a = 2.675 Å, b = 2.675 Å, c = 7.534 Å, α = 90.00°, β = 90.00° and γ = 90.00°. The distinct sites, in fractional coordinates, are Mn at (0.000, 0.000, 0.000), Tc at (0.000, 0.000, 0.521), Tc at (0.500, 0.500, 0.781) and Mo at (0.500, 0.500, 0.241).

# 2
Compound: MnTc2Mo
Source: Alexandria
Functional: GGA-PBEsol
Structure: optimized geometry

As for the crystal system: monoclinic. The formation enthalpy at 0 K comes out at 0.150 eV per atom.

It has space group Pm (No. 6), with a = 2.632 Å, b = 4.208 Å, c = 5.067 Å, α = 90.00°, β = 101.94° and γ = 90.00°. The distinct sites, in fractional coordinates, are Mn at (0.000, 0.000, 0.000), Tc at (0.313, 0.500, 0.749), Tc at (0.614, 0.000, 0.499) and Mo at (0.820, 0.500, 0.237).

# 3
Compound: MnTcMo
Source: Alexandria
Functional: GGA-PBEsol
Structure: optimized geometry

As for the crystal system: cubic. The formation enthalpy at 0 K comes out at 0.598 eV per atom.

It has space group F-43m (No. 216), with a = 5.638 Å, b = 5.638 Å, c = 5.638 Å, α = 90.00°, β = 90.00° and γ = 90.00°. The distinct sites, in fractional coordinates, are Mn at (0.000, 0.000, 0.000), Tc at (0.250, 0.250, 0.250) and Mo at (0.250, 0.250, 0.750).

# 4
Compound: MnTc2Mo
Source: Alexandria
Functional: GGA-PBEsol
Structure: optimized geometry

As for the crystal system: tetragonal. The formation enthalpy at 0 K comes out at 0.076 eV per atom.

It has space group P4/mmm (No. 123), with a = 4.230 Å, b = 4.230 Å, c = 3.101 Å, α = 90.00°, β = 90.00° and γ = 90.00°. The distinct sites, in fractional coordinates, are Mn at (0.000, 0.000, 0.000), Tc at (0.000, 0.500, 0.500) and Mo at (0.500, 0.500, 0.000).

# 5
Compound: MnTeMo2
Source: Alexandria
Functional: GGA-PBEsol
Structure: optimized geometry

As for the crystal system: tetragonal. The formation energy (no corrections) is 359.3 meV per atom.

It has space group P4/mmm (No. 123), with a = 4.458 Å, b = 4.458 Å, c = 3.153 Å, α = 90.00°, β = 90.00° and γ = 90.00°. The distinct sites, in fractional coordinates, are Mn at (0.000, 0.000, 0.000), Te at (0.500, 0.500, 0.000) and Mo at (0.000, 0.500, 0.500).

# 6
Compound: MnTeMo2
Source: Alexandria
Functional: GGA-PBEsol
Structure: optimized geometry

As for the crystal system: cubic. The formation energy (no corrections) is 479.1 meV per atom.

It has space group F-43m (No. 216), with a = 6.224 Å, b = 6.224 Å, c = 6.224 Å, α = 90.00°, β = 90.00° and γ = 90.00°. The distinct sites, in fractional coordinates, are Mn at (0.000, 0.000, 0.000), Te at (0.250, 0.250, 0.750), Mo at (0.000, 0.000, 0.500) and Mo at (0.250, 0.250, 0.250).

# 7
Compound: MnTeMo2
Source: Alexandria
Functional: GGA-PBEsol
Structure: optimized geometry

As for the crystal system: monoclinic. The formation energy (no corrections) is 437.1 meV per atom.

It has space group Pm (No. 6), with a = 2.988 Å, b = 4.182 Å, c = 5.194 Å, α = 90.00°, β = 105.50° and γ = 90.00°. The distinct sites, in fractional coordinates, are Mn at (0.000, 0.000, 0.000), Te at (0.947, 0.500, 0.716), Mo at (0.348, 0.000, 0.449) and Mo at (0.639, 0.500, 0.188).

# 8
Compound: MnTlMo2
Source: Alexandria
Functional: GGA-PBEsol
Structure: optimized geometry

As for the crystal system: orthorhombic. The formation enthalpy at 0 K comes out at 0.526 eV per atom.

It has space group Pmm2 (No. 25), with a = 2.991 Å, b = 3.753 Å, c = 5.784 Å, α = 90.00°, β = 90.00° and γ = 90.00°. The distinct sites, in fractional coordinates, are Mn at (0.000, 0.000, 0.000), Tl at (0.500, 0.500, 0.698), Mo at (0.000, 0.000, 0.387) and Mo at (0.500, 0.500, 0.180).

| no. | VASP energy (eV/atom) | size of the total moment (μB/f.u.) |
| --- | --- | --- |
| 1 | -10.865 | 0.00 |
| 2 | -10.865 | 1.80 |
| 3 | -10.334 | 0.00 |
| 4 | -10.940 | 2.90 |
| 5 | -8.846 | 2.22 |
| 6 | -8.727 | 0.59 |
| 7 | -8.769 | 0.00 |
| 8 | -8.455 | 0.00 |